Record 1
4
Lattice="8.481 -0.023 -0.014 7.023 4.755 -0.014 7.023 2.143 4.244" Properties=species:S:1:pos:R:3 comment="PBE-GGA BaAlSe2, relaxed" dos_at_fermi_per_ev_atom=0.560 formation_energy_uncorrected_mev_per_atom=-853 magmom_total_mub_per_fu=0.69 volume_a3_per_atom=43.09 e_tot_ev_per_atom=-4.012 pbc="T T T"
Se 2.217 0.677 0.415
Se 20.309 6.198 3.801
Ba 11.263 3.437 2.108
Al 0.000 0.000 0.000



Record 2
5
Lattice="6.095 0.000 0.000 0.000 6.095 0.000 0.000 0.000 6.095" Properties=species:S:1:pos:R:3 comment="PBE-GGA BaAl3Se, relaxed" dos_at_fermi_per_ev_atom=1.127 formation_energy_uncorrected_mev_per_atom=1415 magmom_total_mub_per_fu=0.00 de_polymorph_mev_per_atom=1179 volume_a3_per_atom=45.28 e_tot_ev_per_atom=-1.912 pbc="T T T"
Ba 0.000 0.000 0.000
Se 3.047 3.047 3.047
Al 0.000 3.047 0.000
Al 3.047 0.000 0.000
Al 0.000 0.000 3.047



Record 3
4
Lattice="6.030 -0.003 -0.005 1.089 5.931 0.005 -3.544 -2.983 3.861" Properties=species:S:1:pos:R:3 comment="PBE-GGA Ba2AlSe, relaxed" dos_at_fermi_per_ev_atom=0.756 formation_energy_uncorrected_mev_per_atom=-617 magmom_total_mub_per_fu=0.00 de_polymorph_mev_per_atom=217 volume_a3_per_atom=34.52 e_tot_ev_per_atom=-3.385 pbc="T T T"
Se 3.023 -0.011 1.928
Al 0.552 2.956 1.933
Ba 3.564 2.968 0.000
Ba 7.114 5.924 0.000



Record 4
4
Lattice="-1.575 -1.156 -4.166 -2.912 -3.532 -0.463 -8.337 3.944 -0.481" Properties=species:S:1:pos:R:3 comment="PBE-GGA Ba2AlSe, relaxed" dos_at_fermi_per_ev_atom=0.613 formation_energy_uncorrected_mev_per_atom=-834 magmom_total_mub_per_fu=0.81 de_polymorph_mev_per_atom=0 volume_a3_per_atom=40.54 e_tot_ev_per_atom=-3.602 pbc="T T T"
Al -3.206 -0.186 -1.277
Ba -8.147 3.791 -0.511
Ba -6.603 -0.218 -2.525
Se -9.618 -0.558 -3.832



Record 5
4
Lattice="5.856 0.000 0.000 0.000 5.813 0.000 0.000 0.000 4.017" Properties=species:S:1:pos:R:3 comment="PBE-GGA Ba2AlSe, relaxed" dos_at_fermi_per_ev_atom=0.829 formation_energy_uncorrected_mev_per_atom=-748 magmom_total_mub_per_fu=0.00 de_polymorph_mev_per_atom=86 volume_a3_per_atom=34.19 e_tot_ev_per_atom=-3.516 pbc="T T T"
Ba 2.928 2.906 0.000
Ba 0.000 0.000 0.000
Se 2.928 0.000 2.008
Al 0.000 2.906 2.008



Record 6
5
Lattice="6.243 0.000 0.000 0.000 6.243 0.000 0.000 0.000 6.243" Properties=species:S:1:pos:R:3 comment="PBE-GGA Ba3AlSe, relaxed" dos_at_fermi_per_ev_atom=0.477 formation_energy_uncorrected_mev_per_atom=-571 magmom_total_mub_per_fu=1.01 de_polymorph_mev_per_atom=0 volume_a3_per_atom=48.65 e_tot_ev_per_atom=-3.170 pbc="T T T"
Se 0.000 0.000 0.000
Ba 3.121 0.000 0.000
Ba 0.000 0.000 3.121
Ba 0.000 3.121 0.000
Al 3.121 3.121 3.121



Record 7
4
Lattice="-2.538 6.032 6.792 -2.501 2.808 8.650 0.662 4.703 8.149" Properties=species:S:1:pos:R:3 comment="PBE-GGA BaAl2Se, relaxed" dos_at_fermi_per_ev_atom=0.542 formation_energy_uncorrected_mev_per_atom=-80 magmom_total_mub_per_fu=0.00 volume_a3_per_atom=27.53 e_tot_ev_per_atom=-3.303 pbc="T T T"
Al -0.090 0.279 0.486
Al -2.098 6.493 11.309
Se -3.283 10.158 17.693
Ba -1.094 3.386 5.898



Record 8
6
Lattice="-3.873 -1.274 5.826 -5.646 4.065 1.475 -6.562 -2.673 -0.607" Properties=species:S:1:pos:R:3 comment="PBE-GGA Ba4AlSe, relaxed" dos_at_fermi_per_ev_atom=1.431 formation_energy_uncorrected_mev_per_atom=256 magmom_total_mub_per_fu=0.65 volume_a3_per_atom=42.38 e_tot_ev_per_atom=-2.230 pbc="T T T"
Al 0.000 0.000 0.000
Se -12.061 0.088 5.021
Ba -9.303 -1.284 2.215
Ba -8.848 2.063 3.249
Ba -7.967 -0.588 5.410
Ba -6.043 0.044 2.516



Record 9
4
Lattice="4.754 -0.007 0.005 2.485 4.053 0.005 0.801 0.447 6.343" Properties=species:S:1:pos:R:3 comment="PBE-GGA BaAl2Se, relaxed" dos_at_fermi_per_ev_atom=0.182 formation_energy_uncorrected_mev_per_atom=-535 magmom_total_mub_per_fu=0.00 volume_a3_per_atom=30.57 e_tot_ev_per_atom=-3.758 pbc="T T T"
Al 1.352 0.756 5.572
Al 6.187 3.458 5.592
Se 1.477 0.826 1.503
Ba 3.844 2.148 3.206



Record 10
4
Lattice="4.423 -0.011 -0.003 2.270 3.796 -0.003 2.149 1.215 6.827" Properties=species:S:1:pos:R:3 comment="PBE-GGA BaAlSe2, relaxed" dos_at_fermi_per_ev_atom=0.715 formation_energy_uncorrected_mev_per_atom=-998 magmom_total_mub_per_fu=0.00 volume_a3_per_atom=28.71 e_tot_ev_per_atom=-4.157 pbc="T T T"
Se 4.428 2.504 3.769
Se 2.142 1.211 6.469
Al 6.632 3.750 5.116
Ba 2.211 1.250 1.705



Record 11
8
Lattice="-2.705 5.771 1.588 -0.382 -1.905 6.275 4.661 4.521 5.095" Properties=species:S:1:pos:R:3 comment="PBE-GGA BaAlSe2, relaxed" dos_at_fermi_per_ev_atom=0.084 formation_energy_uncorrected_mev_per_atom=-1020 magmom_total_mub_per_fu=0.00 volume_a3_per_atom=36.80 e_tot_ev_per_atom=-4.178 pbc="T T T"
Al 1.368 2.274 7.650
Al -1.543 1.933 3.931
Ba 0.000 0.000 0.000
Ba 0.206 6.113 5.307
Se 2.306 4.682 7.291
Se 0.364 1.140 5.526
Se -0.348 4.020 2.919
Se 0.826 6.932 10.179



Record 12
4
Lattice="3.856 0.153 0.000 0.786 3.778 0.000 0.000 0.000 7.488" Properties=species:S:1:pos:R:3 comment="PBE-GGA BaAlSe2, relaxed" dos_at_fermi_per_ev_atom=0.366 formation_energy_uncorrected_mev_per_atom=-768 magmom_total_mub_per_fu=0.00 volume_a3_per_atom=27.04 e_tot_ev_per_atom=-3.927 pbc="T T T"
Se 0.000 0.000 0.261
Se 0.000 0.000 3.483
Ba 2.321 1.965 5.616
Al 2.321 1.965 1.872



Record 13
4
Lattice="5.198 0.000 0.000 0.000 4.350 -0.003 0.000 0.005 5.197" Properties=species:S:1:pos:R:3 comment="PBE-GGA BaAlSe2, relaxed" dos_at_fermi_per_ev_atom=0.300 formation_energy_uncorrected_mev_per_atom=-1162 magmom_total_mub_per_fu=0.00 volume_a3_per_atom=29.38 e_tot_ev_per_atom=-4.321 pbc="T T T"
Se 0.000 1.092 4.547
Se 2.599 1.088 1.949
Al 0.000 1.091 1.947
Ba 2.599 3.266 4.546



Record 14
4
Lattice="-0.963 1.844 -3.998 -1.202 -4.057 -1.582 -5.026 0.862 1.608" Properties=species:S:1:pos:R:3 comment="PBE-GGA BaAl2Se, relaxed" dos_at_fermi_per_ev_atom=0.418 formation_energy_uncorrected_mev_per_atom=-307 magmom_total_mub_per_fu=0.00 volume_a3_per_atom=27.22 e_tot_ev_per_atom=-3.530 pbc="T T T"
Al -1.082 -1.107 -2.790
Al 0.000 0.000 0.000
Se -3.114 -1.598 0.013
Ba -2.995 1.353 -1.195



Record 15
18
Lattice="-0.231 3.820 1.871 -9.422 -2.249 -1.423 -0.411 -6.010 12.219" Properties=species:S:1:pos:R:3 comment="PBE-GGA Ba2SmAlSe5, relaxed" dos_at_fermi_per_ev_atom=0.000 formation_energy_uncorrected_mev_per_atom=-1721 magmom_total_mub_per_fu=0.00 volume_a3_per_atom=30.81 e_tot_ev_per_atom=-5.025 pbc="T T T"
Se -6.211 -2.477 4.290
Se -3.957 -3.480 11.467
Se -9.087 -1.530 6.851
Se -9.841 -4.980 8.952
Se -0.242 0.273 4.263
Se -3.183 -1.258 7.025
Se -0.789 -0.152 0.213
Se -6.685 -0.299 -0.215
Se -4.039 0.736 2.848
Se -5.962 -4.244 7.929
Ba -2.572 -4.207 8.272
Ba -7.604 -3.339 10.728
Ba -7.440 0.532 2.844
Ba -2.527 -2.075 3.925
Al -1.619 -3.681 12.166
Al -8.588 -2.845 4.748
Sm -5.996 -1.476 7.122
Sm -3.887 -0.318 0.168



Record 16
5
Lattice="-0.191 -4.438 -2.545 5.034 0.422 -1.114 1.163 -2.518 4.303" Properties=species:S:1:pos:R:3 comment="PBE-GGA BaTaAlSe2, relaxed" dos_at_fermi_per_ev_atom=0.448 formation_energy_uncorrected_mev_per_atom=-578 magmom_total_mub_per_fu=0.00 volume_a3_per_atom=27.11 e_tot_ev_per_atom=-5.475 pbc="T T T"
Se 0.582 -1.259 2.152
Se -0.095 -2.219 -1.273
Ta 0.000 0.000 0.000
Ba 3.003 -3.267 0.322
Al 2.517 0.211 -0.557



Record 17
18
Lattice="4.232 0.000 0.000 -2.116 9.543 0.000 0.000 0.000 13.563" Properties=species:S:1:pos:R:3 comment="PBE-GGA Ba2TbAlSe5, relaxed" dos_at_fermi_per_ev_atom=0.000 formation_energy_uncorrected_mev_per_atom=-1727 magmom_total_mub_per_fu=0.00 volume_a3_per_atom=30.43 e_tot_ev_per_atom=-5.020 pbc="T T T"
Al 2.116 1.159 12.559
Al 0.000 8.383 5.778
Se 0.000 0.845 0.332
Se 2.116 3.862 2.293
Se 0.000 6.662 0.123
Se 2.116 3.518 11.902
Se 0.000 6.025 5.121
Se 2.116 0.008 10.503
Se 2.116 2.881 6.904
Se 0.000 9.535 3.722
Se 0.000 5.681 9.074
Se 2.116 8.698 7.113
Ba 2.116 7.235 2.525
Ba 0.000 2.404 4.456
Ba 2.116 7.139 11.237
Ba 0.000 2.308 9.307
Tb 2.116 5.648 7.171
Tb 0.000 3.895 0.390



Record 18
18
Lattice="-1.341 -2.788 -2.844 0.627 -5.400 8.102 -12.802 3.063 3.032" Properties=species:S:1:pos:R:3 comment="PBE-GGA Ba2TmAlSe5, relaxed" dos_at_fermi_per_ev_atom=0.000 formation_energy_uncorrected_mev_per_atom=-1722 magmom_total_mub_per_fu=0.00 volume_a3_per_atom=30.05 e_tot_ev_per_atom=-4.997 pbc="T T T"
Tm -7.448 -3.784 4.116
Tm -0.369 -2.704 2.825
Se -0.367 -0.562 0.723
Se -7.474 -5.921 6.222
Se -0.128 -4.707 4.674
Se -7.182 -1.903 2.146
Se -11.938 -1.226 3.724
Se -3.586 -5.931 7.504
Se -10.614 0.970 0.948
Se -4.878 -3.109 5.347
Se -2.804 -3.649 1.794
Se -8.543 -1.995 5.982
Ba -4.177 -0.729 2.683
Ba -8.790 0.451 3.701
Ba -11.269 -3.934 6.063
Ba -3.082 -5.969 4.199
Al -12.561 0.605 2.224
Al -5.523 -4.636 7.148



Record 19
20
Lattice="-2.276 6.938 0.697 -6.259 -1.683 -3.675 -4.643 -2.471 9.040" Properties=species:S:1:pos:R:3 comment="PBE-GGA Ba2UAlSe6, relaxed" dos_at_fermi_per_ev_atom=0.264 formation_energy_uncorrected_mev_per_atom=-1416 magmom_total_mub_per_fu=1.00 volume_a3_per_atom=28.58 e_tot_ev_per_atom=-5.395 pbc="T T T"
Se -7.989 2.090 8.154
Se -11.192 1.823 6.427
Se -3.934 0.017 3.635
Se -7.343 -0.306 1.787
Se -6.393 5.057 1.001
Se -1.985 0.961 -0.364
Se -5.835 3.089 4.276
Se -2.487 3.269 2.720
Se -6.785 -2.273 5.062
Se -10.691 -0.486 3.343
Se -5.189 0.694 -2.091
Se -9.244 2.767 2.428
Ba -5.075 2.001 0.979
Ba -8.102 0.783 5.084
Ba -7.105 -2.113 -1.231
Ba -6.072 4.897 7.294
Al -3.129 -0.842 -1.837
Al -3.459 2.233 4.869
U -1.138 3.469 0.349
U -5.451 -2.077 2.683



Record 20
5
Lattice="6.070 0.000 0.000 0.000 5.781 0.000 0.000 0.000 6.070" Properties=species:S:1:pos:R:3 comment="PBE-GGA BaAlVSe2, relaxed" dos_at_fermi_per_ev_atom=2.001 formation_energy_uncorrected_mev_per_atom=981 magmom_total_mub_per_fu=4.13 volume_a3_per_atom=42.60 e_tot_ev_per_atom=-3.370 pbc="T T T"
V 0.000 2.891 0.000
Se 3.035 0.000 0.000
Se 0.000 0.000 3.035
Ba 0.000 0.000 0.000
Al 3.035 2.891 3.035



Record 21
5
Lattice="-1.029 -2.874 5.701 4.526 0.253 0.944 -0.897 5.782 2.753" Properties=species:S:1:pos:R:3 comment="PBE-GGA Ba2AlVSe, relaxed" dos_at_fermi_per_ev_atom=1.016 formation_energy_uncorrected_mev_per_atom=135 magmom_total_mub_per_fu=4.01 volume_a3_per_atom=38.73 e_tot_ev_per_atom=-3.903 pbc="T T T"
Al 1.300 1.581 4.699
Se 2.263 0.126 0.472
V 0.000 0.000 0.000
Ba -0.449 2.891 1.377
Ba -0.514 -1.437 2.851



Record 22
5
Lattice="-3.553 -4.304 -3.035 3.839 -1.876 -1.833 0.472 -3.906 4.988" Properties=species:S:1:pos:R:3 comment="PBE-GGA Ba2AlZnSe, relaxed" dos_at_fermi_per_ev_atom=0.549 formation_energy_uncorrected_mev_per_atom=-399 magmom_total_mub_per_fu=0.00 volume_a3_per_atom=37.53 e_tot_ev_per_atom=-2.869 pbc="T T T"
Zn 1.919 -0.938 -0.916
Ba 0.236 -1.953 2.494
Ba -1.776 -2.152 -1.517
Se 0.379 -5.043 0.060
Al 0.000 0.000 0.000



Record 23
5
Lattice="-2.074 -2.588 3.855 5.068 0.048 2.759 -1.270 4.377 2.256" Properties=species:S:1:pos:R:3 comment="PBE-GGA BaAlZnSe2, relaxed" dos_at_fermi_per_ev_atom=1.030 formation_energy_uncorrected_mev_per_atom=-22 magmom_total_mub_per_fu=0.00 volume_a3_per_atom=29.85 e_tot_ev_per_atom=-2.803 pbc="T T T"
Al 0.862 0.919 4.435
Zn 0.000 0.000 0.000
Ba 2.534 0.024 1.380
Se -1.037 -1.294 1.927
Se -0.635 2.188 1.128



Record 24
3
Lattice="6.574 0.030 -0.033 5.583 3.471 -0.020 0.991 0.274 3.430" Properties=species:S:1:pos:R:3 comment="PBE-GGA BaAlSi, relaxed" dos_at_fermi_per_ev_atom=0.523 formation_energy_uncorrected_mev_per_atom=-43 magmom_total_mub_per_fu=0.00 volume_a3_per_atom=25.93 e_tot_ev_per_atom=-3.739 pbc="T T T"
Ba 4.683 1.341 2.278
Si 8.010 2.303 1.240
Al 1.445 0.405 3.288



Record 25
4
Lattice="-2.662 -1.422 0.984 -0.415 -2.840 -5.228 2.482 -5.508 -1.242" Properties=species:S:1:pos:R:3 comment="PBE-GGA BaAlSi2, relaxed" dos_at_fermi_per_ev_atom=0.541 formation_energy_uncorrected_mev_per_atom=496 magmom_total_mub_per_fu=0.00 volume_a3_per_atom=23.90 e_tot_ev_per_atom=-3.632 pbc="T T T"
Si 0.000 0.000 0.000
Si -1.538 -2.131 -2.122
Ba 1.241 -2.754 -0.621
Al -0.297 -4.885 -2.743



Record 26
4
Lattice="-2.591 2.866 -2.916 2.210 -1.989 -3.919 -3.971 -2.795 0.781" Properties=species:S:1:pos:R:3 comment="PBE-GGA BaAlSi2, relaxed" dos_at_fermi_per_ev_atom=0.368 formation_energy_uncorrected_mev_per_atom=-91 magmom_total_mub_per_fu=0.00 volume_a3_per_atom=28.28 e_tot_ev_per_atom=-4.219 pbc="T T T"
Si -3.730 -2.032 -2.700
Si -3.058 -0.205 -1.502
Al -1.588 -0.883 -3.474
Ba -3.886 -2.784 0.716